SiTeCl, optimized geometry, DFT PBE-GGA; energy above the most stable polymorph in this dataset = 62.7 kJ per mole of atoms; uncorrected formation energy = 0.13 eV/atom; calculated total energy = -3.34 eV per atom; N(E_F) = 0.288 states/eV/atom
1.0
0.000 2.633 7.586
2.003 0.000 7.586
2.003 2.633 0.000
Si Te Cl
1 1 1
direct
0.000 0.000 0.000
0.640 0.640 0.360
0.392 0.392 0.608